A relaxed Ba2HfGa crystal, computed with PBE-GGA.

Properties
* symmetry: F-43m
* energy: -3.69 eV/atom

POSCAR file:
```
Ba2HfGa
1.0
0.000 3.978 3.978
3.978 0.000 3.978
3.978 3.978 0.000
Ba Ga Hf
2 1 1
direct
0.000 0.000 0.000 Ba
0.750 0.750 0.750 Ba
0.500 0.500 0.500 Ga
0.250 0.250 0.250 Hf
```